# PmTmFe2O6 (PBE+U, relaxed)
data_PmTmFe2O6
_space_group_name_H-M_alt 'P 1'
_space_group_IT_number 1
_space_group_name_Hall 'P 1'
_cell_length_a 5.419
_cell_length_b 5.426
_cell_length_c 5.437
_cell_angle_alpha 60.44
_cell_angle_beta 60.78
_cell_angle_gamma 60.59
loop_
_atom_site_label
_atom_site_type_symbol
_atom_site_fract_x
_atom_site_fract_y
_atom_site_fract_z
Pm1 Pm 0.000 0.000 0.000
Tm1 Tm 0.512 0.518 0.517
Fe1 Fe 0.239 0.243 0.242
Fe2 Fe 0.739 0.743 0.742
O1 O 0.084 0.490 0.888
O2 O 0.409 0.967 0.576
O3 O 0.481 0.889 0.088
O4 O 0.574 0.411 0.965
O5 O 0.884 0.089 0.486
O6 O 0.965 0.575 0.413
# **Magnetization**: 6.02 μB per cell
# **Electronic total energy**: -73.66 eV per formula unit
# **Density**: 7.6 g cm⁻³
# **D(E_F)**: 0.00 states/eV/atom